1.
GdSi2: relaxed, PBE-GGA.

Summary:
- space group = I4_1/amd
- total DFT energy (no corrections) (eV/atom) = -8.896
- uncorrected formation energy (eV/atom) = -0.5873
- size of the total moment (μB per formula unit) = 6.85

Lattice parameters (Å, degrees): 7.673 7.673 7.673 149.34 149.34 43.90
Last column: magnetic moment on the atom in μB.
Fractional positions:
Gd 0.500 0.500 0.000  6.89
Gd 0.250 0.750 0.500  6.89
Si 0.083 0.083 0.000  -0.03
Si 0.833 0.333 0.500  -0.03
Si 0.667 0.167 0.500  -0.03
Si 0.917 0.917 0.000  -0.03

2.
Sr2GePd7: relaxed, PBE-GGA.

Summary:
- space group = Fm-3m
- total DFT energy (no corrections) (eV/atom) = -4.634
- size of the total moment (μB per formula unit) = 0.00

Lattice parameters (Å, degrees): 6.874 6.874 6.874 60.00 60.00 60.00
Fractional positions:
Sr 0.250 0.250 0.250
Sr 0.750 0.750 0.750
Pd 0.761 0.239 0.761
Pd 0.500 0.500 0.500
Pd 0.761 0.761 0.239
Pd 0.761 0.239 0.239
Pd 0.239 0.761 0.761
Pd 0.239 0.761 0.239
Pd 0.239 0.239 0.761
Ge 0.000 0.000 0.000

3.
Sr3Pd5Pb6: relaxed, PBE-GGA.

Summary:
- space group = Pmmn
- total DFT energy (no corrections) (eV/atom) = -4.272
- size of the total moment (μB per formula unit) = 0.00

Lattice parameters (Å, degrees): 4.671 10.418 14.543 90.00 90.00 90.00
Fractional positions:
Pd 0.000 0.857 0.343
Pd 0.500 0.454 0.611
Pd 0.500 0.454 0.389
Pd 0.000 0.792 0.000
Pd 0.500 0.208 0.500
Pd 0.000 0.546 0.889
Pd 0.500 0.143 0.157
Pd 0.000 0.857 0.657
Pd 0.000 0.546 0.111
Pd 0.500 0.143 0.843
Sr 0.500 0.731 0.500
Sr 0.000 0.247 0.300
Sr 0.000 0.269 0.000
Sr 0.000 0.247 0.700
Sr 0.500 0.753 0.800
Sr 0.500 0.753 0.200
Pb 0.000 0.587 0.320
Pb 0.500 0.971 0.000
Pb 0.000 0.983 0.157
Pb 0.500 0.017 0.343
Pb 0.000 0.029 0.500
Pb 0.500 0.605 0.000
Pb 0.500 0.413 0.180
Pb 0.500 0.017 0.657
Pb 0.000 0.587 0.680
Pb 0.000 0.395 0.500
Pb 0.000 0.983 0.843
Pb 0.500 0.413 0.820

4.
ZrCr4Rh: relaxed, PBE-GGA.

Summary:
- space group = F-43m
- total DFT energy (no corrections) (eV/atom) = -9.044
- size of the total moment (μB per formula unit) = 0.00

Lattice parameters (Å, degrees): 4.897 4.897 4.897 60.00 60.00 60.00
Fractional positions:
Cr 0.627 0.627 0.119
Cr 0.627 0.627 0.627
Cr 0.119 0.627 0.627
Cr 0.627 0.119 0.627
Rh 0.250 0.250 0.250
Zr 0.000 0.000 0.000

> Look up the size of the total moment of the first one.

6.85 μB per formula unit

> Number 4 is which compound?

ZrCr4Rh

> What is the formula in the first record?

GdSi2